(1)
{"formula": "YFeSi2Rh", "functional": "PBE", "state": "optimized geometry", "formation_energy_uncorrected_ev_per_atom": -0.900, "cell": [[-1.7481, -0.7818, 3.5444], [-1.5877, -3.3730, -1.5271], [5.6092, -0.4095, 0.3867]], "species": ["Fe", "Y", "Si", "Si", "Rh"], "frac_coords": [[0.7500, 0.2500, 0.5000], [0.0000, 0.0000, 0.0000], [0.3720, 0.3720, 0.7440], [0.6280, 0.6280, 0.2560], [0.2500, 0.7500, 0.5000]]}

***

(2)
{"formula": "CaMgRe2", "functional": "PBE", "state": "optimized geometry", "formation_enthalpy_0k_mev_per_atom": 598, "cell": [[5.4707, -0.0019, -0.0069], [-2.4243, 5.0407, 0.0094], [0.6222, 0.6946, 2.5592]], "species": ["Re", "Re", "Ca", "Mg"], "frac_coords": [[0.5000, 0.0000, 0.5000], [0.0000, 0.0000, 0.0000], [0.0000, 0.5000, 0.5000], [0.5000, 0.5000, 0.0000]]}

***

(3)
{"formula": "CaSi2Os", "functional": "PBE", "state": "optimized geometry", "formation_energy_uncorrected_ev_per_atom": -0.160, "cell": [[-0.2098, -1.5480, 4.7621], [4.9062, 0.8898, 0.5054], [0.8298, 6.7703, 4.8746]], "species": ["Ca", "Ca", "Si", "Si", "Si", "Si", "Os", "Os"], "frac_coords": [[0.5000, 0.5000, 0.0000], [0.2500, 0.7500, 0.5000], [0.3750, 0.1252, 0.7500], [0.8748, 0.1250, 0.2500], [0.8752, 0.6250, 0.2500], [0.8750, 0.1248, 0.7500], [0.0000, 0.0000, 0.0000], [0.7500, 0.2500, 0.5000]]}

***

(4)
{"formula": "K3Er3VSe8", "functional": "PBE", "state": "optimized geometry", "formation_energy_uncorrected_ev_per_atom": -1.471, "cell": [[8.0694, 0.0004, -0.0003], [-4.0343, 6.9873, -0.0294], [-0.0006, -4.6271, 7.8868]], "species": ["Er", "Er", "Er", "V", "Se", "Se", "Se", "Se", "Se", "Se", "Se", "Se", "K", "K", "K"], "frac_coords": [[0.5000, 0.0000, 0.5000], [0.0000, 0.5000, 0.5000], [0.5000, 0.5000, 0.5000], [0.0000, 0.0000, 0.5000], [0.7565, 0.9732, 0.6899], [0.2649, 0.5297, 0.2946], [0.2167, 0.9732, 0.6899], [0.7833, 0.5665, 0.3101], [0.2167, 0.4335, 0.6899], [0.7351, 0.4703, 0.7054], [0.7833, 0.0268, 0.3101], [0.2435, 0.0268, 0.3101], [0.0000, 0.0000, 0.0000], [0.0000, 0.5000, 0.0000], [0.5000, 0.5000, 0.0000]]}

***

(5)
{"formula": "Pu3Ga4Pd4", "functional": "PBE", "state": "optimized geometry", "formation_enthalpy_0k_mev_per_atom": -541, "cell": [[4.0977, 0.0000, -1.1281], [-0.8064, 6.5163, -2.9291], [0.0439, -0.2904, 8.1658]], "species": ["Ga", "Ga", "Ga", "Ga", "Pu", "Pu", "Pu", "Pd", "Pd", "Pd", "Pd"], "frac_coords": [[0.2176, 0.7176, 0.4353], [0.7824, 0.2824, 0.5647], [0.5000, 0.1901, 0.0000], [0.5000, 0.8099, 0.0000], [0.0000, 0.5000, 0.0000], [0.8760, 0.8760, 0.7520], [0.1240, 0.1240, 0.2480], [0.3255, 0.5235, 0.6511], [0.6745, 0.8724, 0.3489], [0.6745, 0.4765, 0.3489], [0.3255, 0.1276, 0.6511]]}

***

(6)
{"formula": "BaTmMg2Au4", "functional": "PBE", "state": "optimized geometry", "formation_enthalpy_0k_mev_per_atom": -695, "cell": [[-1.4763, 4.2731, 1.4944], [-4.1909, 0.4289, 2.2190], [2.5381, 0.0717, 9.8881]], "species": ["Au", "Au", "Au", "Au", "Ba", "Mg", "Mg", "Tm"], "frac_coords": [[0.4031, 0.4031, 0.7906], [0.5969, 0.5969, 0.2094], [0.8769, 0.8769, 0.3692], [0.1231, 0.1231, 0.6308], [0.0000, 0.0000, 0.0000], [0.2364, 0.2364, 0.2909], [0.7636, 0.7636, 0.7091], [0.5000, 0.5000, 0.5000]]}

***

no.,Fermi-level density of states (states/eV per atom)
1,0.4626
2,0.6475
3,0.3069
4,0.4349
5,3.3977
6,0.4480